Record 1
Here is a geometry-optimized LiTlRe structure from Alexandria. Energies are from GGA-PBE.

a b c (Å): 2.9279 2.9279 7.2425
angles (deg): 90.00 90.00 120.00
Fractional coordinates of all 3 atoms:
1 Li 0.0000 0.0000 0.0129
2 Re 0.6667 0.3333 0.3198
3 Tl 0.3333 0.6667 0.6673

Values from the calculation:
Uncorrected energy   -4.959 eV/atom
Space group   P3m1 (156)
E above lowest polymorph   0.005 eV per atom
Energy relative to the elements   1.853 eV/f.u.

Record 2
Here is a geometry-optimized PmNp2As3 structure from Alexandria. Energies are from GGA-PBE.

a b c (Å): 4.1415 5.8643 7.1932
angles (deg): 114.06 106.73 90.00
Last column: magnetic moment on the atom in μB.
Fractional coordinates of all 6 atoms:
1 Pm 0.0000 0.5000 0.0000  0.03
2 Np 0.3350 0.8350 0.6701  3.72
3 Np 0.6650 0.1650 0.3299  3.72
4 As 0.6729 0.6729 0.3458  -0.09
5 As 0.0000 0.0000 0.0000  -0.10
6 As 0.3271 0.3271 0.6542  -0.09

Values from the calculation:
Uncorrected energy   -8.389 eV/atom
Space group   Immm (71)
Energy relative to the elements   -5.755 eV/f.u.

Record 3
Here is a geometry-optimized RbIn2CuP structure from Alexandria. Energies are from GGA-PBE.

a b c (Å): 5.3132 4.6591 5.3132
angles (deg): 90.00 90.00 90.00
Fractional coordinates of all 5 atoms:
1 P 0.0000 0.5000 0.0000
2 Cu 0.0000 0.0000 0.0000
3 Rb 0.5000 0.5000 0.5000
4 In 0.0000 0.0000 0.5000
5 In 0.5000 0.0000 0.0000

Values from the calculation:
Uncorrected energy   -3.018 eV/atom
Space group   P4/mmm (123)
Energy relative to the elements   0.863 eV/f.u.

Record 4
Here is a geometry-optimized NaLa2TiF structure from Alexandria. Energies are from GGA-PBE.

a b c (Å): 6.1693 3.7855 6.1693
angles (deg): 90.00 90.00 90.00
Last column: magnetic moment on the atom in μB.
Fractional coordinates of all 5 atoms:
1 Na 0.0000 0.0000 0.0000  -0.01
2 F 0.0000 0.5000 0.0000  0.00
3 Ti 0.5000 0.5000 0.5000  1.23
4 La 0.0000 0.0000 0.5000  -0.05
5 La 0.5000 0.0000 0.0000  -0.07

Values from the calculation:
Uncorrected energy   -4.192 eV/atom
Space group   P4/mmm (123)
Formation energy without anion corrections   0.0 eV per formula unit

Record 5
Here is a geometry-optimized Mg5Zn4Pd structure from Alexandria. Energies are from GGA-PBE.

a b c (Å): 3.2097 3.2097 17.1355
angles (deg): 90.00 90.00 90.00
Fractional coordinates of all 10 atoms:
1 Mg 0.5000 0.5000 0.0894
2 Mg 0.5000 0.5000 0.2930
3 Mg 0.5000 0.5000 0.5000
4 Mg 0.5000 0.5000 0.7070
5 Mg 0.5000 0.5000 0.9106
6 Zn 0.0000 0.0000 0.1899
7 Zn 0.0000 0.0000 0.3971
8 Zn 0.0000 0.0000 0.6029
9 Zn 0.0000 0.0000 0.8101
10 Pd 0.0000 0.0000 0.0000

Values from the calculation:
Uncorrected energy   -2.049 eV/atom
Space group   P4/mmm (123)
Energy relative to the elements   -2.229 eV/f.u.

Record 6
Here is a geometry-optimized TbHfCoPd structure from Alexandria. Energies are from GGA-PBE.

a b c (Å): 4.7291 4.7291 4.7291
angles (deg): 60.00 60.00 60.00
Last column: magnetic moment on the atom in μB.
Fractional coordinates of all 4 atoms:
1 Tb 0.2500 0.2500 0.2500  -0.07
2 Hf 0.7500 0.7500 0.7500  -0.11
3 Pd 0.0000 0.0000 0.0000  0.00
4 Co 0.5000 0.5000 0.5000  0.72

Values from the calculation:
Uncorrected energy   -7.125 eV/atom
Space group   F-43m (216)
Energy relative to the elements   -1.617 eV/f.u.

Record 7
Here is a geometry-optimized GaCu3Re structure from Alexandria. Energies are from GGA-PBE.

a b c (Å): 4.7223 4.7223 4.7223
angles (deg): 90.00 90.00 90.00
Last column: magnetic moment on the atom in μB.
Fractional coordinates of all 5 atoms:
1 Re 0.0000 0.0000 0.0000  0.71
2 Cu 0.0000 0.5000 0.0000  0.08
3 Cu 0.0000 0.0000 0.5000  0.18
4 Cu 0.5000 0.0000 0.0000  0.04
5 Ga 0.5000 0.5000 0.5000  0.01

Values from the calculation:
Uncorrected energy   -4.127 eV/atom
Space group   Pm-3m (221)
E above lowest polymorph   0.126 eV per atom
Energy relative to the elements   7.130 eV/f.u.

Record 8
Here is a geometry-optimized Na2Hg3Pb structure from Alexandria. Energies are from GGA-PBE.

a b c (Å): 3.7731 4.5161 10.7333
angles (deg): 102.14 100.12 90.00
Fractional coordinates of all 6 atoms:
1 Na 0.1245 0.1245 0.2490
2 Na 0.8673 0.3673 0.7346
3 Hg 0.6953 0.6953 0.3905
4 Hg 0.5526 0.5526 0.1052
5 Hg 0.3041 0.8041 0.6081
6 Pb 0.4563 0.9563 0.9126

Values from the calculation:
Uncorrected energy   -1.321 eV/atom
Space group   Imm2 (44)
E above lowest polymorph   0.064 eV per atom
Energy relative to the elements   -0.676 eV/f.u.